Computed, not measured: a relaxed structure of NaSrAc at the PBE level of DFT.

The structure in CIF format:
```
data_NaSrAc
_chemical_formula_sum 'Na1 Sr1 Ac1'
_cell_length_a 3.998
_cell_length_b 3.998
_cell_length_c 8.977
_cell_angle_alpha 102.87
_cell_angle_beta 102.87
_cell_angle_gamma 90.00
_space_group_name_H-M_alt 'P 1'
_space_group_IT_number 1
loop_
_space_group_symop_operation_xyz
'x,y,z'
loop_
_atom_site_label
_atom_site_type_symbol
_atom_site_fract_x
_atom_site_fract_y
_atom_site_fract_z
Sr1 Sr 0.663 0.663 0.325
Ac1 Ac 0.339 0.339 0.678
Na1 Na 0.998 0.998 0.997
```

V: 45.40 A^3/atom
energy relative to the lowest polymorph listed for this composition: 76 meV/atom



Computed, not measured: a relaxed structure of NaSr2Ac2 at the PBE level of DFT.

The structure in CIF format:
```
data_NaSr2Ac2
_chemical_formula_sum 'Na1 Sr2 Ac2'
_cell_length_a 5.060
_cell_length_b 5.060
_cell_length_c 11.195
_cell_angle_alpha 103.06
_cell_angle_beta 103.06
_cell_angle_gamma 90.00
_space_group_name_H-M_alt 'P 1'
_space_group_IT_number 1
loop_
_space_group_symop_operation_xyz
'x,y,z'
loop_
_atom_site_label
_atom_site_type_symbol
_atom_site_fract_x
_atom_site_fract_y
_atom_site_fract_z
Na1 Na 0.000 0.000 0.000
Sr1 Sr 0.403 0.403 0.806
Sr2 Sr 0.597 0.597 0.194
Ac1 Ac 0.750 0.250 0.500
Ac2 Ac 0.250 0.750 0.500
```

V: 54.33 A^3/atom



Computed, not measured: a relaxed structure of NaSr4Ac2 at the PBE level of DFT.

The structure in CIF format:
```
data_NaSr4Ac2
_chemical_formula_sum 'Na1 Sr4 Ac2'
_cell_length_a 4.130
_cell_length_b 4.130
_cell_length_c 23.753
_cell_angle_alpha 85.01
_cell_angle_beta 85.01
_cell_angle_gamma 60.00
_space_group_name_H-M_alt 'P 1'
_space_group_IT_number 1
loop_
_space_group_symop_operation_xyz
'x,y,z'
loop_
_atom_site_label
_atom_site_type_symbol
_atom_site_fract_x
_atom_site_fract_y
_atom_site_fract_z
Na1 Na 0.000 0.000 0.000
Sr1 Sr 0.380 0.380 0.861
Sr2 Sr 0.096 0.096 0.711
Sr3 Sr 0.620 0.620 0.139
Sr4 Sr 0.904 0.904 0.289
Ac1 Ac 0.188 0.188 0.435
Ac2 Ac 0.812 0.812 0.565
```

V: 49.88 A^3/atom



Computed, not measured: a relaxed structure of NaSr2Ac at the PBE level of DFT.

The structure in CIF format:
```
data_NaSr2Ac
_chemical_formula_sum 'Na1 Sr2 Ac1'
_cell_length_a 3.970
_cell_length_b 3.970
_cell_length_c 14.536
_cell_angle_alpha 82.15
_cell_angle_beta 82.15
_cell_angle_gamma 60.00
_space_group_name_H-M_alt 'P 1'
_space_group_IT_number 1
loop_
_space_group_symop_operation_xyz
'x,y,z'
loop_
_atom_site_label
_atom_site_type_symbol
_atom_site_fract_x
_atom_site_fract_y
_atom_site_fract_z
Sr1 Sr 0.090 0.090 0.731
Sr2 Sr 0.910 0.910 0.269
Ac1 Ac 0.000 0.000 0.000
Na1 Na 0.500 0.500 0.500
```

V: 48.97 A^3/atom
energy relative to the lowest polymorph listed for this composition: 163 meV/atom



Computed, not measured: a relaxed structure of NaSr3Ac at the PBE level of DFT.

The structure in CIF format:
```
data_NaSr3Ac
_chemical_formula_sum 'Na2 Sr6 Ac2'
_cell_length_a 4.056
_cell_length_b 9.827
_cell_length_c 13.390
_cell_angle_alpha 108.59
_cell_angle_beta 98.71
_cell_angle_gamma 90.00
_space_group_name_H-M_alt 'P 1'
_space_group_IT_number 1
loop_
_space_group_symop_operation_xyz
'x,y,z'
loop_
_atom_site_label
_atom_site_type_symbol
_atom_site_fract_x
_atom_site_fract_y
_atom_site_fract_z
Na1 Na 0.579 0.602 0.157
Na2 Na 0.421 0.398 0.843
Sr1 Sr 0.017 0.224 0.035
Sr2 Sr 0.983 0.776 0.965
Sr3 Sr 0.376 0.963 0.752
Sr4 Sr 0.624 0.037 0.248
Sr5 Sr 0.177 0.441 0.354
Sr6 Sr 0.823 0.559 0.646
Ac1 Ac 0.732 0.827 0.465
Ac2 Ac 0.268 0.173 0.535
```

V: 49.94 A^3/atom



Computed, not measured: a relaxed structure of NaSrAc at the PBE level of DFT.

The structure in CIF format:
```
data_NaSrAc
_chemical_formula_sum 'Na2 Sr2 Ac2'
_cell_length_a 4.055
_cell_length_b 4.059
_cell_length_c 19.639
_cell_angle_alpha 89.99
_cell_angle_beta 83.86
_cell_angle_gamma 59.96
_space_group_name_H-M_alt 'P 1'
_space_group_IT_number 1
loop_
_space_group_symop_operation_xyz
'x,y,z'
loop_
_atom_site_label
_atom_site_type_symbol
_atom_site_fract_x
_atom_site_fract_y
_atom_site_fract_z
Na1 Na 0.125 0.690 0.141
Na2 Na 0.699 0.404 0.293
Sr1 Sr 0.259 0.124 0.460
Sr2 Sr 0.568 0.970 0.973
Ac1 Ac 0.467 0.520 0.635
Ac2 Ac 0.021 0.244 0.797
```

V: 46.28 A^3/atom
energy relative to the lowest polymorph listed for this composition: 0 meV/atom



Raw total energy values (in eV for the cell shown) by entry order: -6.8; -11.1; -16.0; -7.9; -20.1; -14.0.